[1]
A relaxed structure of SmGeSb, computed with PBE.

Results
Mass density: 6.25 Mg/m³
Offset from the most stable computed form: 0 meV per atom
E_tot: -14.058 eV/cell

a b c (Å): 5.060 5.060 5.060
angles (deg): 60.00 60.00 60.00
Fractional coordinates of all 3 atoms:
1 Sm 0.000 0.000 0.000
2 Ge 0.500 0.500 0.500
3 Sb 0.750 0.750 0.750

***

[2]
A relaxed structure of SmGeSb, computed with PBE.

Results
Mass density: 6.25 Mg/m³
Offset from the most stable computed form: 10 meV per atom
E_tot: -14.028 eV/cell

a b c (Å): 5.059 5.059 5.059
angles (deg): 60.00 60.00 60.00
Fractional coordinates of all 3 atoms:
1 Sm 0.000 0.000 0.000
2 Ge 0.750 0.750 0.750
3 Sb 0.250 0.250 0.250

***

[3]
A relaxed structure of Sm5Ge2Sb, computed with PBE.

Results
Mass density: 7.63 Mg/m³
E_tot: -86.617 eV/cell

a b c (Å): 8.946 8.946 8.946
angles (deg): 126.86 126.86 78.47
Fractional coordinates of all 16 atoms:
1 Sm 0.000 0.000 0.000
2 Sm 0.018 0.518 0.819
3 Sm 0.199 0.018 0.500
4 Sm 0.301 0.801 0.819
5 Sm 0.482 0.301 0.500
6 Sm 0.500 0.500 0.000
7 Sm 0.518 0.699 0.500
8 Sm 0.699 0.199 0.181
9 Sm 0.801 0.982 0.500
10 Sm 0.982 0.482 0.181
11 Ge 0.142 0.358 0.500
12 Ge 0.358 0.858 0.216
13 Ge 0.642 0.142 0.784
14 Ge 0.858 0.642 0.500
15 Sb 0.250 0.250 0.000
16 Sb 0.750 0.750 0.000

***

[4]
A relaxed structure of TaGeSb, computed with PBE.

Results
Mass density: 9.24 Mg/m³
E_tot: -18.345 eV/cell

a b c (Å): 4.570 4.570 4.570
angles (deg): 60.00 60.00 60.00
Fractional coordinates of all 3 atoms:
1 Ta 0.000 0.000 0.000
2 Ge 0.750 0.750 0.750
3 Sb 0.500 0.500 0.500

***

Which value of E_tot does entry 4 give?
-18.345 eV/cell

***

Which formula does entry 4 have?
TaGeSb

***

What is the mass density in the second record?
6.25 Mg/m³

***

What is the formula in the third record?
Sm5Ge2Sb